Entry 1:
An optimized crystal structure of Y3MgPd4. Source: Alexandria via LeMat-Bulk, functional PBE-GGA.

The space group is No. 123. For the formation energy, the calculation gives -0.831 eV per atom. The value obtained for the density of states at the Fermi level is 3.14 states/eV/cell.

a = 4.9113 Å, b = 4.9113 Å, c = 6.8117 Å
α = 90.00°, β = 90.00°, γ = 90.00°
Closest atoms and distances in Å follow each position.
Fractional coordinates of all 8 atoms:
1 Y 0.0000 0.0000 0.0000  8 Pd 3.01
2 Y 0.0000 0.0000 0.5000  8 Pd 2.97
3 Y 0.5000 0.5000 0.0000  8 Pd 3.01
4 Mg 0.5000 0.5000 0.5000  8 Pd 2.97
5 Pd 0.0000 0.5000 0.2553  2 Mg 2.97, 6 Y 2.97-3.01
6 Pd 0.0000 0.5000 0.7447  2 Mg 2.97, 6 Y 2.97-3.01
7 Pd 0.5000 0.0000 0.2553  2 Mg 2.97, 6 Y 2.97-3.01
8 Pd 0.5000 0.0000 0.7447  2 Mg 2.97, 6 Y 2.97-3.01


Entry 2:
An optimized crystal structure of Tb2Tm12Sc5. Source: Alexandria via LeMat-Bulk, functional PBE-GGA.

The space group is No. 12. For the formation energy, the calculation gives 0.148 eV per atom. The value obtained for the density of states at the Fermi level is 31.36 states/eV/cell.

a = 9.0008 Å, b = 9.0008 Å, c = 8.2472 Å
α = 91.43°, β = 91.43°, γ = 56.96°
Closest atoms and distances in Å follow each position.
Fractional coordinates of all 19 atoms:
1 Tb 0.2129 0.7871 0.0000  8 Tm 3.39-3.75, 2 Sc 3.44, 1 Tb 3.65
2 Tb 0.7871 0.2129 0.0000  8 Tm 3.39-3.75, 2 Sc 3.44, 1 Tb 3.65
3 Tm 0.0158 0.6076 0.7767  4 Sc 3.30-3.48, 6 Tm 3.34-3.56, 1 Tb 3.46
4 Tm 0.1653 0.1653 0.8702  2 Sc 2.96-3.30
5 Tm 0.1856 0.5960 0.3883  4 Sc 3.19-3.36, 6 Tm 3.30-3.56
6 Tm 0.3924 0.9842 0.2233  4 Sc 3.30-3.48, 6 Tm 3.34-3.56, 1 Tb 3.46
7 Tm 0.4040 0.8144 0.6117  4 Sc 3.19-3.36, 6 Tm 3.30-3.56
8 Tm 0.4449 0.4449 0.7251  2 Sc 3.14-3.46, 6 Tm 3.30-3.38, 2 Tb 3.44
9 Tm 0.5551 0.5551 0.2749  2 Sc 3.14-3.46, 6 Tm 3.30-3.38, 2 Tb 3.44
10 Tm 0.5960 0.1856 0.3883  4 Sc 3.19-3.36, 6 Tm 3.30-3.56
11 Tm 0.6076 0.0158 0.7767  4 Sc 3.30-3.48, 6 Tm 3.34-3.56, 1 Tb 3.46
12 Tm 0.8144 0.4040 0.6117  4 Sc 3.19-3.36, 6 Tm 3.30-3.56
13 Tm 0.8347 0.8347 0.1298  2 Sc 2.96-3.30
14 Tm 0.9842 0.3924 0.2233  4 Sc 3.30-3.48, 6 Tm 3.34-3.56, 1 Tb 3.46
15 Sc 0.0000 0.0000 0.5000  4 Tm 3.19
16 Sc 0.2437 0.2437 0.5490  5 Tm 2.96-3.30
17 Sc 0.3525 0.3525 0.0574  8 Tm 3.14-3.48, 2 Tb 3.44
18 Sc 0.6475 0.6475 0.9426  8 Tm 3.14-3.48, 2 Tb 3.44
19 Sc 0.7563 0.7563 0.4510  5 Tm 2.96-3.30